VASP calculation (GGA-PBE) on MgIn2Pb6 after structural relaxation.

Structure (POSCAR):
```
MgIn2Pb6
1.0
-1.207 3.216 0.053
-0.952 -2.232 2.431
20.550 7.472 14.907
Pb In Mg
6 2 1
Cartesian
17.361 8.120 14.253 Pb
10.557 3.799 10.048 Pb
3.387 1.192 4.847 Pb
7.919 2.840 8.135 Pb
15.089 5.447 13.336 Pb
0.945 2.151 2.345 Pb
12.733 6.437 10.896 In
5.572 3.834 5.702 In
-1.037 -0.416 1.638 Mg
```

Results
The value obtained for the excess energy over the best structure of this formula in the dataset is 0 kJ/mol of formula units. For the formation energy, the calculation gives 42 meV per atom. Its space-group type is P-6m2, No. 187.

=====

VASP calculation (GGA-PBE) on Cs2CaPt after structural relaxation.

Structure (POSCAR):
```
Cs2CaPt
1.0
-2.099 10.722 7.239
-11.523 -4.883 3.892
-5.568 1.706 7.723
Pt Ca Cs
2 2 4
Cartesian
0.000 0.000 0.000 Pt
-7.239 7.674 10.263 Pt
-11.951 -0.129 8.590 Ca
-6.811 2.919 5.566 Ca
-7.483 4.232 9.358 Cs
-6.373 10.509 12.248 Cs
-4.472 8.193 8.073 Cs
-10.627 7.761 11.376 Cs
```

Results
The value obtained for the excess energy over the best structure of this formula in the dataset is 0 kJ/mol of formula units. For the formation energy, the calculation gives -47 meV per atom. Its space-group type is I-42d, No. 122.

=====

VASP calculation (GGA-PBE) on ZnCd2S3 after structural relaxation.

Structure (POSCAR):
```
ZnCd2S3
1.0
-2.558 -0.342 -3.123
-4.449 -0.416 3.689
2.836 6.454 -0.402
Cd Zn S
2 1 3
Cartesian
-3.557 1.672 2.730 Cd
-2.843 3.814 -0.718 Cd
-2.388 -0.275 -0.642 Zn
-3.635 1.547 0.179 S
-0.377 4.163 -0.148 S
-0.126 -0.012 0.104 S
```

Results
The uncorrected formation energy comes out at -0.6848 eV per atom. Its space-group type is Imm2, No. 44.

=====

VASP calculation (GGA-PBE) on DyNi3Ge2 after structural relaxation.

Structure (POSCAR):
```
DyNi3Ge2
1.0
3.853 0.000 0.000
-1.926 7.452 -2.385
0.000 0.059 9.441
Ni Ge Dy
9 6 3
Cartesian
0.000 5.664 5.736 Ni
0.000 0.703 3.014 Ni
1.926 0.029 4.721 Ni
1.926 2.711 8.308 Ni
1.926 6.808 4.042 Ni
0.000 4.800 -1.252 Ni
0.000 3.212 2.672 Ni
1.926 1.846 1.320 Ni
1.926 4.299 4.384 Ni
0.000 6.952 -0.127 Ge
0.000 5.396 3.410 Ge
1.926 2.114 3.646 Ge
1.926 0.559 7.183 Ge
0.000 2.971 0.285 Ge
1.926 4.540 6.771 Ge
1.926 5.130 1.182 Dy
0.000 2.380 5.874 Dy
0.000 0.000 0.000 Dy
```

Results
For the formation energy, the calculation gives -619 meV per atom. Its space-group type is C2/m, No. 12.

=====

VASP calculation (GGA-PBE) on CoGeMo after structural relaxation.

Structure (POSCAR):
```
CoGeMo
1.0
2.541 3.534 2.336
-2.715 1.211 -3.946
-5.907 1.298 4.463
Ge Mo Co
4 4 4
Cartesian
-2.532 2.056 2.381 Ge
-2.618 4.399 1.586 Ge
-1.869 1.585 -2.934 Ge
-1.294 3.793 3.513 Ge
-4.065 3.835 3.934 Mo
-0.238 2.994 1.044 Mo
-2.753 2.404 -0.423 Mo
-5.002 2.898 1.275 Mo
-4.236 1.547 -2.791 Co
-0.630 3.302 -1.794 Co
-7.095 2.175 -0.631 Co
-0.545 1.000 -1.013 Co
```

Results
For the formation energy, the calculation gives 41 meV per atom. Its space-group type is Amm2, No. 38.

=====

VASP calculation (GGA-PBE) on Tb4ZnHg after structural relaxation.

Structure (POSCAR):
```
Tb4ZnHg
1.0
-1.833 1.177 2.865
0.242 -3.264 1.496
10.810 3.340 5.542
Tb Hg Zn
4 1 1
Cartesian
0.727 -0.573 2.961 Tb
3.677 1.136 1.885 Tb
8.492 1.826 6.942 Tb
5.542 0.117 8.018 Tb
4.609 0.627 4.951 Hg
0.000 0.000 0.000 Zn
```

Results
The value obtained for the excess energy over the best structure of this formula in the dataset is 0 kJ/mol of formula units. For the formation energy, the calculation gives -255 meV per atom. Its space-group type is P4/mmm, No. 123.

=====

VASP calculation (GGA-PBE) on KTc2Ru after structural relaxation.

Structure (POSCAR):
```
KTc2Ru
1.0
-0.521 -4.680 -0.807
1.842 -4.350 0.712
-3.451 -1.445 5.679
Ru K Tc
1 1 2
Cartesian
-0.124 -2.736 0.785 Ru
-1.049 -5.245 2.768 K
0.000 -0.002 0.001 Tc
-2.024 -7.729 4.822 Tc
```

Results
The value obtained for the excess energy over the best structure of this formula in the dataset is 54 kJ/mol of formula units. For the formation energy, the calculation gives 889 meV per atom. Its space-group type is Cm, No. 8.

=====

VASP calculation (GGA-PBE) on Co2RuPt after structural relaxation.

Structure (POSCAR):
```
Co2RuPt
1.0
4.437 -0.271 -0.479
1.590 4.151 0.479
-2.754 -2.344 2.629
Co Ru Pt
2 1 1
Cartesian
3.013 1.940 0.000 Co
0.000 0.000 0.000 Co
0.925 1.874 1.554 Ru
2.348 -0.337 1.075 Pt
```

Results
The value obtained for the excess energy over the best structure of this formula in the dataset is 5 kJ/mol of formula units. For the formation energy, the calculation gives 77 meV per atom. Its space-group type is I4/mmm, No. 139.

=====

VASP calculation (GGA-PBE) on Sm6TlSn after structural relaxation.

Structure (POSCAR):
```
Sm6TlSn
1.0
-0.933 -4.624 -1.404
3.862 -1.573 2.614
-5.797 -1.209 7.838
Sm Sn Tl
6 1 1
Cartesian
-1.434 -3.703 4.524 Sm
-1.894 -2.610 1.228 Sm
1.464 -3.098 0.605 Sm
0.503 -1.084 3.237 Sm
-2.439 -1.698 7.215 Sm
-4.836 -3.223 5.206 Sm
0.000 0.000 0.000 Sn
-2.899 -0.604 3.919 Tl
```

Results
For the formation energy, the calculation gives -325 meV per atom. Its space-group type is P4/mmm, No. 123.

=====

VASP calculation (GGA-PBE) on TbPm2SmDy4 after structural relaxation.

Structure (POSCAR):
```
TbPm2SmDy4
1.0
-6.402 -1.252 -2.971
5.543 -3.219 -10.592
-1.170 -2.250 12.120
Dy Pm Sm Tb
8 4 2 2
Cartesian
-1.234 -4.479 -4.099 Dy
-0.218 -1.119 -3.377 Dy
1.394 -4.977 3.421 Dy
-1.811 -5.602 1.934 Dy
-0.795 -2.242 2.656 Dy
1.964 -3.852 -2.615 Dy
-3.423 -1.744 -4.865 Dy
-3.994 -2.870 1.171 Dy
-0.429 -2.235 -6.782 Pm
-0.585 -1.125 6.060 Pm
1.172 -6.095 0.042 Pm
1.757 -4.970 -6.018 Pm
1.601 -3.860 6.824 Sm
-4.216 -3.987 -2.208 Sm
-2.029 -6.721 -1.444 Tb
-1.015 -3.361 -0.722 Tb
```

Results
For the formation energy, the calculation gives 14 meV per atom. Its space-group type is C2/m, No. 12.

=====

VASP calculation (GGA-PBE) on Pt5Br4 after structural relaxation.

Structure (POSCAR):
```
Pt5Br4
1.0
7.897 0.000 0.000
-3.948 6.839 0.000
0.000 0.000 6.614
Br Pt
8 10
Cartesian
2.759 4.779 1.654 Br
5.519 0.000 4.961 Br
0.000 0.000 3.307 Br
2.378 0.000 1.654 Br
-1.189 2.060 1.654 Br
1.189 2.060 4.961 Br
0.000 0.000 0.000 Br
-2.759 4.779 4.961 Br
2.370 4.105 4.961 Pt
1.578 2.734 1.654 Pt
0.000 4.559 0.000 Pt
3.948 2.280 0.000 Pt
3.157 0.000 4.961 Pt
-1.578 2.734 4.961 Pt
3.948 2.280 3.307 Pt
4.740 0.000 1.654 Pt
0.000 4.559 3.307 Pt
-2.370 4.105 1.654 Pt
```

Results
The value obtained for the excess energy over the best structure of this formula in the dataset is 152 kJ/mol of formula units. The uncorrected formation energy comes out at 0.7477 eV per atom. Its space-group type is P6_3/mcm, No. 193.

=====

VASP calculation (GGA-PBE) on CsHgP2S after structural relaxation.

Structure (POSCAR):
```
CsHgP2S
1.0
-1.427 -2.369 6.336
-5.331 -3.593 -2.544
3.363 -4.369 -0.876
P Cs S Hg
2 1 1 1
Cartesian
-2.665 -1.796 -1.272 P
-0.714 -1.184 3.168 P
0.000 0.000 0.000 Cs
1.682 -2.185 -0.438 S
-1.698 -5.166 1.458 Hg
```

Results
The value obtained for the excess energy over the best structure of this formula in the dataset is 407 kJ/mol of formula units. The uncorrected formation energy comes out at 1.4558 eV per atom. Its space-group type is P4/mmm, No. 123.

=====

VASP calculation (GGA-PBE) on CsLaZn2Cl8 after structural relaxation.

Structure (POSCAR):
```
CsLaZn2Cl8
1.0
-0.600 2.617 6.063
-5.861 -0.122 3.099
0.231 -8.243 7.207
Cl Zn Cs La
8 2 1 1
Cartesian
-2.000 0.204 5.709 Cl
-5.175 -2.398 11.401 Cl
-0.532 -5.042 10.524 Cl
-5.698 -0.705 5.845 Cl
-4.063 1.073 8.792 Cl
-2.167 -6.821 7.577 Cl
-4.230 -5.952 10.661 Cl
-1.055 -3.350 4.968 Cl
-4.663 -4.348 12.294 Zn
-1.567 -1.400 4.075 Zn
-3.115 -2.874 8.185 Cs
0.000 0.000 0.000 La
```

Results
The uncorrected formation energy comes out at -1.7013 eV per atom. Its space-group type is R-3, No. 148.

=====

VASP calculation (GGA-PBE) on CdTc2As2 after structural relaxation.

Structure (POSCAR):
```
CdTc2As2
1.0
7.375 0.000 0.000
0.000 7.375 0.000
0.000 0.000 3.008
Cd Tc As
2 4 4
Cartesian
3.687 3.687 0.000 Cd
0.000 0.000 0.000 Cd
2.577 1.110 1.504 Tc
6.264 2.577 1.504 Tc
4.798 6.264 1.504 Tc
1.110 4.798 1.504 Tc
1.050 2.637 0.000 As
4.738 1.050 0.000 As
2.637 6.325 0.000 As
6.325 4.738 0.000 As
```

Results
The value obtained for the excess energy over the best structure of this formula in the dataset is 47 kJ/mol of formula units. For the formation energy, the calculation gives 162 meV per atom. Its space-group type is P4/mbm, No. 127.

=====

VASP calculation (GGA-PBE) on CuPbCl2 after structural relaxation.

Structure (POSCAR):
```
CuPbCl2
1.0
8.304 -0.003 -0.002
7.543 3.473 -0.002
7.543 1.652 3.055
Cl Cu Pb
2 1 1
Cartesian
12.250 2.683 1.598 Cl
22.835 5.001 2.979 Cl
5.848 1.281 0.763 Cu
17.543 3.842 2.289 Pb
```

Results
The value obtained for the excess energy over the best structure of this formula in the dataset is 19 kJ/mol of formula units. The uncorrected formation energy comes out at -0.4536 eV per atom. Its space-group type is R-3m, No. 166.

=====

VASP calculation (GGA-PBE) on Ba2RuCl after structural relaxation.

Structure (POSCAR):
```
Ba2RuCl
1.0
6.246 0.002 0.002
5.085 3.626 0.002
-0.001 0.000 5.266
Cl Ba Ru
1 2 1
Cartesian
5.551 1.777 3.294 Cl
8.538 2.734 3.295 Ba
0.143 0.046 0.658 Ba
2.763 0.885 0.659 Ru
```

Results
The value obtained for the excess energy over the best structure of this formula in the dataset is 17 kJ/mol of formula units. The uncorrected formation energy comes out at -0.4841 eV per atom. Its space-group type is Amm2, No. 38.

=====

VASP calculation (GGA-PBE) on UCo2Ge after structural relaxation.

Structure (POSCAR):
```
UCo2Ge
1.0
2.818 0.000 0.000
1.409 2.440 0.000
1.409 0.813 8.453
Co U Ge
2 1 1
Cartesian
1.409 0.813 1.849 Co
4.227 2.440 6.604 Co
2.818 1.627 4.226 U
0.000 0.000 0.000 Ge
```

Results
The value obtained for the excess energy over the best structure of this formula in the dataset is 200 kJ/mol of formula units. For the formation energy, the calculation gives 199 meV per atom. Its space-group type is R-3m, No. 166.

=====

VASP calculation (GGA-PBE) on ScCrAg2 after structural relaxation.

Structure (POSCAR):
```
ScCrAg2
1.0
-3.293 0.070 -3.313
-4.029 -2.270 0.663
-3.949 2.401 0.682
Sc Ag Cr
1 2 1
Cartesian
-2.818 0.050 -0.492 Sc
0.000 0.000 0.000 Ag
-8.453 0.151 -1.476 Ag
-5.635 0.101 -0.984 Cr
```

Results
The value obtained for the excess energy over the best structure of this formula in the dataset is 13 kJ/mol of formula units. For the formation energy, the calculation gives 121 meV per atom. Its space-group type is F-43m, No. 216.

=====

VASP calculation (GGA-PBE) on La3NdEr3 after structural relaxation.

Structure (POSCAR):
```
La3NdEr3
1.0
-3.332 -5.835 -4.922
5.835 -3.400 -4.875
2.009 -7.615 2.712
Er La Nd
6 6 2
Cartesian
1.893 -12.250 -6.654 Er
-0.710 -5.052 -1.479 Er
1.619 -3.524 -3.631 Er
5.224 -11.798 -5.607 Er
2.621 -4.600 -0.432 Er
2.894 -13.327 -3.455 Er
1.684 -8.829 -7.407 La
6.010 -9.487 -3.086 La
-1.496 -7.363 -4.000 La
0.283 -11.465 -2.030 La
2.830 -8.021 0.321 La
4.230 -5.385 -5.055 La
2.668 -9.963 -4.189 Nd
1.845 -6.888 -2.896 Nd
```

Results
The value obtained for the excess energy over the best structure of this formula in the dataset is 64 kJ/mol of formula units. For the formation energy, the calculation gives 133 meV per atom. Its space-group type is R-3, No. 148.

=====

VASP calculation (GGA-PBE) on MgTaCu after structural relaxation.

Structure (POSCAR):
```
MgTaCu
1.0
-3.652 -0.334 0.612
0.354 -3.700 0.091
1.161 0.284 7.084
Mg Ta Cu
2 2 2
Cartesian
0.581 0.142 3.542 Mg
-1.069 -1.875 3.893 Mg
-0.794 0.086 6.606 Ta
0.306 -1.819 0.830 Ta
1.061 -1.634 5.438 Cu
-1.549 -0.099 1.998 Cu
```

Results
The value obtained for the excess energy over the best structure of this formula in the dataset is 60 kJ/mol of formula units. For the formation energy, the calculation gives 287 meV per atom. Its space-group type is P4/nmm, No. 129.